(1)
Compound: InHgTe2
Source: Alexandria via LeMat-Bulk
Functional: PBE
Structure: optimized geometry

- uncorrected formation energy (meV per atom) = 62

Structure (CIF):
```
data_InHgTe2
_chemical_formula_sum 'In3 Hg3 Te6'
_cell_length_a 3.2289
_cell_length_b 3.2289
_cell_length_c 39.2639
_cell_angle_alpha 90.00
_cell_angle_beta 90.00
_cell_angle_gamma 120.00
_space_group_name_H-M_alt 'R -3 m'
_space_group_IT_number 166
_space_group_name_Hall '-R 3 2"'
loop_
_atom_site_label
_atom_site_fract_x
_atom_site_fract_y
_atom_site_fract_z
In1 0.0000 0.0000 0.0000
Hg1 0.0000 0.0000 0.5000
Te1 0.0000 0.0000 0.0787
```

(2)
Compound: Zr2GaS2
Source: Alexandria via LeMat-Bulk
Functional: PBE
Structure: optimized geometry

- uncorrected formation energy (meV per atom) = -977

Structure (CIF):
```
data_Zr2GaS2
_chemical_formula_sum 'Zr4 Ga2 S4'
_cell_length_a 7.413
_cell_length_b 7.413
_cell_length_c 3.316
_cell_angle_alpha 90.00
_cell_angle_beta 90.00
_cell_angle_gamma 90.00
_space_group_name_H-M_alt 'P 4/m b m'
_space_group_IT_number 127
_space_group_name_Hall '-P 4 2ab'
loop_
_atom_site_label
_atom_site_fract_x
_atom_site_fract_y
_atom_site_fract_z
Zr1 0.154 0.346 0.000
Ga1 0.000 0.000 0.000
S1 0.137 0.637 0.500
```

(3)
Compound: Y2CuNi12B3
Source: Alexandria via LeMat-Bulk
Functional: PBE
Structure: optimized geometry

- E_form (eV per formula unit) = -0.19

Structure (CIF):
```
data_Y2CuNi12B3
_chemical_formula_sum 'Y6 Cu3 Ni36 B9'
_cell_length_a 7.0858
_cell_length_b 7.0858
_cell_length_c 16.1187
_cell_angle_alpha 90.00
_cell_angle_beta 90.00
_cell_angle_gamma 120.00
_space_group_name_H-M_alt 'R -3 m'
_space_group_IT_number 166
_space_group_name_Hall '-R 3 2"'
loop_
_atom_site_label
_atom_site_fract_x
_atom_site_fract_y
_atom_site_fract_z
Y1 0.0000 0.0000 0.0957
Cu1 0.0000 0.0000 0.5000
Ni1 0.0396 0.5198 0.8811
Ni2 0.0704 0.5352 0.3080
B1 0.0000 0.5000 0.0000
```

(4)
Compound: Li3PaSe3
Source: Alexandria via LeMat-Bulk
Functional: PBE
Structure: optimized geometry

- uncorrected formation energy (meV per atom) = -1207

Structure (CIF):
```
data_Li3PaSe3
_chemical_formula_sum 'Li18 Pa6 Se18'
_cell_length_a 7.2396
_cell_length_b 7.2396
_cell_length_c 20.8908
_cell_angle_alpha 90.00
_cell_angle_beta 90.00
_cell_angle_gamma 120.00
_space_group_name_H-M_alt 'R -3'
_space_group_IT_number 148
_space_group_name_Hall '-R 3'
loop_
_atom_site_label
_atom_site_fract_x
_atom_site_fract_y
_atom_site_fract_z
Li1 0.0060 0.6928 0.1227
Pa1 0.0000 0.0000 0.3337
Se1 0.0033 0.6498 0.9158
```

(5)
Compound: Sr2Sc2Pd
Source: Alexandria via LeMat-Bulk
Functional: PBE
Structure: optimized geometry

- E_form (eV per formula unit) = 3.69
- excess energy over the best structure of this formula in the dataset (meV per atom) = 767.7

Structure (CIF):
```
data_Sr2Sc2Pd
_chemical_formula_sum 'Sr4 Sc4 Pd2'
_cell_length_a 4.180
_cell_length_b 4.180
_cell_length_c 17.166
_cell_angle_alpha 90.00
_cell_angle_beta 90.00
_cell_angle_gamma 90.00
_space_group_name_H-M_alt 'I 4/m m m'
_space_group_IT_number 139
_space_group_name_Hall '-I 4 2'
loop_
_atom_site_label
_atom_site_fract_x
_atom_site_fract_y
_atom_site_fract_z
Sr1 0.000 0.500 0.250
Sc1 0.000 0.000 0.078
Pd1 0.000 0.000 0.500
```

(6)
Compound: Ca2Ac2PtAu2
Source: Alexandria via LeMat-Bulk
Functional: PBE
Structure: optimized geometry

- E_form (eV per formula unit) = -5.65

Structure (CIF):
```
data_Ca2Ac2PtAu2
_chemical_formula_sum 'Ca4 Ac4 Pt2 Au4'
_cell_length_a 14.989
_cell_length_b 4.259
_cell_length_c 8.048
_cell_angle_alpha 90.00
_cell_angle_beta 118.36
_cell_angle_gamma 90.00
_space_group_name_H-M_alt 'C 1 2/m 1'
_space_group_IT_number 12
loop_
_space_group_symop_operation_xyz
'x,y,z'
'-x,-y,-z'
'-x,y,-z'
'x,-y,z'
'x+1/2,y+1/2,z'
'-x+1/2,-y+1/2,-z'
'-x+1/2,y+1/2,-z'
'x+1/2,-y+1/2,z'
loop_
_atom_site_label
_atom_site_fract_x
_atom_site_fract_y
_atom_site_fract_z
Ca1 0.214 0.000 0.283
Ac1 0.037 0.500 0.776
Pt1 0.000 0.000 0.000
Au1 0.116 0.000 0.557
```

(7)
Compound: MgTaAs2
Source: Alexandria via LeMat-Bulk
Functional: PBE
Structure: optimized geometry

- E_form (eV per formula unit) = -1.05

Structure (CIF):
```
data_MgTaAs2
_chemical_formula_sum 'Mg1 Ta1 As2'
_cell_length_a 3.752
_cell_length_b 3.752
_cell_length_c 5.396
_cell_angle_alpha 90.00
_cell_angle_beta 90.00
_cell_angle_gamma 90.00
_space_group_name_H-M_alt 'P 4 m m'
_space_group_IT_number 99
loop_
_space_group_symop_operation_xyz
'x,y,z'
'-y,x,z'
'-x,-y,z'
'y,-x,z'
'-x,y,z'
'y,x,z'
'x,-y,z'
'-y,-x,z'
loop_
_atom_site_label
_atom_site_fract_x
_atom_site_fract_y
_atom_site_fract_z
Mg1 0.000 0.000 0.000
Ta1 0.500 0.500 0.420
As1 0.000 0.000 0.489
As2 0.500 0.500 0.938
```

(8)
Compound: HgTe4Mo2
Source: Alexandria via LeMat-Bulk
Functional: PBE
Structure: optimized geometry

- uncorrected formation energy (meV per atom) = 721

Structure (CIF):
```
data_HgTe4Mo2
_chemical_formula_sum 'Hg2 Te8 Mo4'
_cell_length_a 5.610
_cell_length_b 5.610
_cell_length_c 14.585
_cell_angle_alpha 90.00
_cell_angle_beta 90.00
_cell_angle_gamma 90.00
_space_group_name_H-M_alt 'I 4/m m m'
_space_group_IT_number 139
_space_group_name_Hall '-I 4 2'
loop_
_atom_site_label
_atom_site_fract_x
_atom_site_fract_y
_atom_site_fract_z
Hg1 0.000 0.000 0.000
Te1 0.000 0.000 0.244
Te2 0.000 0.500 0.000
Mo1 0.000 0.000 0.420
```

(9)
Compound: NdTmH
Source: Alexandria via LeMat-Bulk
Functional: PBE
Structure: optimized geometry

- excess energy over the best structure of this formula in the dataset (meV per atom) = 14.5

Structure (CIF):
```
data_NdTmH
_chemical_formula_sum 'Nd1 Tm1 H1'
_cell_length_a 3.6408
_cell_length_b 3.6408
_cell_length_c 5.7209
_cell_angle_alpha 90.00
_cell_angle_beta 90.00
_cell_angle_gamma 120.00
_space_group_name_H-M_alt 'P 3 m 1'
_space_group_IT_number 156
loop_
_space_group_symop_operation_xyz
'x,y,z'
'-y,x-y,z'
'-x+y,-x,z'
'-y,-x,z'
'-x+y,y,z'
'x,x-y,z'
loop_
_atom_site_label
_atom_site_fract_x
_atom_site_fract_y
_atom_site_fract_z
Nd1 0.0000 0.0000 0.0000
Tm1 0.3333 0.6667 0.4869
H1 0.6667 0.3333 0.2642
```

(10)
Compound: Tb2Pm3Pr8
Source: Alexandria via LeMat-Bulk
Functional: PBE
Structure: optimized geometry

- E_form (eV per formula unit) = 1.97
- excess energy over the best structure of this formula in the dataset (meV per atom) = 0.0

Structure (CIF):
```
data_Tb2Pm3Pr8
_chemical_formula_sum 'Tb4 Pm6 Pr16'
_cell_length_a 13.353
_cell_length_b 11.993
_cell_length_c 6.268
_cell_angle_alpha 90.00
_cell_angle_beta 113.15
_cell_angle_gamma 90.00
_space_group_name_H-M_alt 'C 1 2/m 1'
_space_group_IT_number 12
loop_
_space_group_symop_operation_xyz
'x,y,z'
'-x,-y,-z'
'-x,y,-z'
'x,-y,z'
'x+1/2,y+1/2,z'
'-x+1/2,-y+1/2,-z'
'-x+1/2,y+1/2,-z'
'x+1/2,-y+1/2,z'
loop_
_atom_site_label
_atom_site_fract_x
_atom_site_fract_y
_atom_site_fract_z
Tb1 0.212 0.000 0.354
Pm1 0.000 0.254 0.000
Pm2 0.000 0.500 0.500
Pr1 0.056 0.000 0.787
Pr2 0.152 0.500 0.052
Pr3 0.172 0.245 0.671
```

Number 1: DFT total energy -2.268 eV/atom, density of states at the Fermi level 7.252 states/eV/cell. Number 2: DFT total energy -6.652 eV/atom, density of states at the Fermi level 6.699 states/eV/cell. Number 3: DFT total energy -5.923 eV/atom, density of states at the Fermi level 35.744 states/eV/cell. Number 4: DFT total energy -4.877 eV/atom, density of states at the Fermi level 22.369 states/eV/cell. Number 5: DFT total energy -3.505 eV/atom, density of states at the Fermi level 14.309 states/eV/cell. Number 6: DFT total energy -4.353 eV/atom, density of states at the Fermi level 7.802 states/eV/cell. Number 7: DFT total energy -5.949 eV/atom, density of states at the Fermi level 2.466 states/eV/cell. Number 8: DFT total energy -4.212 eV/atom, density of states at the Fermi level 13.588 states/eV/cell. Number 9: DFT total energy -4.409 eV/atom, density of states at the Fermi level 2.816 states/eV/cell. Number 10: DFT total energy -4.599 eV/atom, density of states at the Fermi level 45.084 states/eV/cell.